A relaxed structure of Re3BiAs, computed with PBE.

```
Re3BiAs
1.0
4.654 0.000 0.000
0.000 4.654 0.000
0.000 0.000 4.654
Re Bi As
3 1 1
Direct
0.000 0.000 0.500
0.000 0.500 0.000
0.500 0.000 0.000
0.500 0.500 0.500
0.000 0.000 0.000
```

- energy above the lowest structure with this stoichiometry (eV per atom) = 0.0000
- space group = No. 221
- density (g/cm3) = 13.9
- formation energy from the elements (eV/atom) = 1.574

A relaxed structure of ReBi2AsRu, computed with PBE.

```
ReBi2AsRu
1.0
5.310 0.000 0.000
0.000 5.310 0.000
0.000 0.000 4.706
Re Bi As Ru
1 2 1 1
Direct
0.000 0.000 0.000
0.000 0.500 0.000
0.500 0.000 0.000
0.500 0.500 0.500
0.000 0.000 0.500
```

- space group = No. 123
- density (g/cm3) = 9.8
- formation energy from the elements (eV/atom) = 1.234

A relaxed structure of ReBiAsSe2, computed with PBE.

```
ReBiAsSe2
1.0
5.016 0.000 0.000
0.000 5.016 0.000
0.000 0.000 4.755
Re Bi As Se
1 1 1 2
Direct
0.000 0.000 0.000
0.500 0.500 0.500
0.000 0.000 0.500
0.000 0.500 0.000
0.500 0.000 0.000
```

- energy above the lowest structure with this stoichiometry (eV per atom) = 0.0000
- space group = No. 123
- density (g/cm3) = 8.7

A relaxed structure of VRe2BiAs, computed with PBE.

```
VRe2BiAs
1.0
4.597 0.000 0.000
0.000 4.597 0.000
0.000 0.000 5.039
V Re Bi As
1 2 1 1
Direct
0.000 0.000 0.000
0.000 0.500 0.000
0.500 0.000 0.000
0.000 0.000 0.500
0.500 0.500 0.500
```

- space group = No. 123
- density (g/cm3) = 11.0
- formation energy from the elements (eV/atom) = 1.625

A relaxed structure of BiAsRh, computed with PBE.

```
BiAsRh
1.0
6.352 0.000 0.000
0.000 6.352 0.000
0.000 0.000 6.352
Bi As Rh
4 4 4
Direct
0.135 0.365 0.635
0.365 0.635 0.135
0.635 0.135 0.365
0.865 0.865 0.865
0.122 0.122 0.122
0.378 0.878 0.622
0.622 0.378 0.878
0.878 0.622 0.378
0.032 0.968 0.468
0.468 0.032 0.968
0.532 0.532 0.532
0.968 0.468 0.032
```

- energy above the lowest structure with this stoichiometry (eV per atom) = 0.1208
- space group = No. 198
- density (g/cm3) = 10.0
- formation energy from the elements (eV/atom) = -0.256

A relaxed structure of BiAs2Rh, computed with PBE.

```
BiAs2Rh
1.0
-3.039 3.039 5.874
3.039 -3.039 5.874
3.039 3.039 -5.874
Bi As Rh
2 4 2
Direct
0.000 0.000 0.000
0.750 0.250 0.500
0.193 0.625 0.068
0.375 0.443 0.568
0.557 0.125 0.932
0.875 0.807 0.432
0.250 0.750 0.500
0.500 0.500 0.000
```

- space group = No. 122
- density (g/cm3) = 7.1
- formation energy from the elements (eV/atom) = -0.015

A relaxed structure of BiAs2Rh2, computed with PBE.

```
BiAs2Rh2
1.0
-2.193 2.193 4.967
2.193 -2.193 4.967
2.193 2.193 -4.967
Bi As Rh
1 2 2
Direct
0.000 0.000 0.000
0.370 0.370 0.000
0.630 0.630 0.000
0.250 0.750 0.500
0.750 0.250 0.500
```

- energy above the lowest structure with this stoichiometry (eV per atom) = 0.0000
- space group = No. 139
- density (g/cm3) = 9.8
- formation energy from the elements (eV/atom) = -0.221

A relaxed structure of BiAs2Rh2, computed with PBE.

```
BiAs2Rh2
1.0
-2.020 2.020 5.897
2.020 -2.020 5.897
2.020 2.020 -5.897
Bi As Rh
1 2 2
Direct
0.000 0.000 0.000
0.250 0.750 0.500
0.750 0.250 0.500
0.380 0.380 0.000
0.620 0.620 0.000
```

- energy above the lowest structure with this stoichiometry (eV per atom) = 0.1047
- space group = No. 139
- density (g/cm3) = 9.7
- formation energy from the elements (eV/atom) = -0.116

A relaxed structure of Bi3AsRh4, computed with PBE.

```
Bi3AsRh4
1.0
-2.818 4.599 3.322
2.818 -4.599 3.322
2.818 4.599 -3.322
Bi As Rh
3 1 4
Direct
0.000 0.000 0.000
0.396 0.670 0.726
0.944 0.670 0.274
0.659 0.159 0.500
0.005 0.261 0.744
0.371 0.133 0.762
0.371 0.608 0.238
0.516 0.261 0.256
```

- space group = No. 44
- density (g/cm3) = 10.7
- formation energy from the elements (eV/atom) = -0.029

A relaxed structure of BiAs2Rh2, computed with PBE.

```
BiAs2Rh2
1.0
7.703 0.000 0.000
0.000 7.703 0.000
0.000 0.000 3.139
Bi As Rh
2 4 4
Direct
0.000 0.000 0.000
0.500 0.500 0.000
0.137 0.363 0.500
0.363 0.863 0.500
0.637 0.137 0.500
0.863 0.637 0.500
0.130 0.630 0.000
0.370 0.130 0.000
0.630 0.870 0.000
0.870 0.370 0.000
```

- energy above the lowest structure with this stoichiometry (eV per atom) = 0.0935
- space group = No. 127
- density (g/cm3) = 10.1
- formation energy from the elements (eV/atom) = -0.127

A relaxed structure of Bi2AsRh2, computed with PBE.

```
Bi2AsRh2
1.0
6.417 0.000 0.000
0.000 6.417 0.000
0.000 0.000 5.177
Bi As Rh
4 2 4
Direct
0.184 0.316 0.000
0.316 0.816 0.000
0.684 0.184 0.000
0.816 0.684 0.000
0.000 0.000 0.500
0.500 0.500 0.500
0.155 0.655 0.500
0.345 0.155 0.500
0.655 0.845 0.500
0.845 0.345 0.500
```

- space group = No. 127
- density (g/cm3) = 10.9
- formation energy from the elements (eV/atom) = -0.018

A relaxed structure of BiAsRh, computed with PBE.

```
BiAsRh
1.0
6.591 0.000 0.000
0.000 6.523 0.000
-2.815 0.000 6.000
Bi As Rh
4 4 4
Direct
0.155 0.131 0.363
0.155 0.369 0.863
0.845 0.631 0.137
0.845 0.869 0.637
0.351 0.642 0.668
0.351 0.858 0.168
0.649 0.142 0.832
0.649 0.358 0.332
0.295 0.516 0.297
0.295 0.984 0.797
0.705 0.016 0.203
0.705 0.484 0.703
```

- energy above the lowest structure with this stoichiometry (eV per atom) = 0.0000
- space group = No. 14
- density (g/cm3) = 10.0
- formation energy from the elements (eV/atom) = -0.377

A relaxed structure of BiAs2RhSe, computed with PBE.

```
BiAs2RhSe
1.0
4.724 0.000 0.000
0.000 4.724 0.000
0.000 0.000 5.312
Bi As Rh Se
1 2 1 1
Direct
0.000 0.000 0.000
0.000 0.500 0.500
0.500 0.000 0.500
0.500 0.500 0.500
0.500 0.500 0.000
```

- energy above the lowest structure with this stoichiometry (eV per atom) = 0.0000
- space group = No. 123
- density (g/cm3) = 7.6

Calculated values (μB/f.u.) of spin magnetization for the records, taken in order: 2.2 0.0 0.0 0.0 0.0 0.0 0.0 0.0 0.0 0.0 0.0 0.0 0.0.